Computed, not measured: a geometry-optimized BaMg2GeH structure at the PBE level of DFT.

Properties
- symmetry = No. 63
- calculated volume (Å³/f.u.) = 112.0
- energy (eV per cell) = -29.404

Lattice parameters (Å, degrees): 4.3694 6.6458 8.1660 90.00 90.00 109.19
With the nearest neighbours (Å) after each atom.
Fractional positions:
Mg  0.8290  0.6581  0.4389  1 H 2.20
Mg  0.8290  0.6581  0.0611  1 H 2.20
Mg  0.1710  0.3419  0.5611  1 H 2.20
Mg  0.1710  0.3419  0.9389  1 H 2.20
Ge  0.2656  0.5311  0.2500  6 Mg 2.79-2.80
Ge  0.7344  0.4689  0.7500  6 Mg 2.79-2.80
Ba  0.5426  0.0853  0.2500  4 H 3.04
Ba  0.4574  0.9147  0.7500  4 H 3.04
H  0.0000  0.0000  0.0000  2 Mg 2.20
H  0.0000  0.0000  0.5000  2 Mg 2.20